[1]
Density functional theory data (PBE) for a relaxed structure of CsSiB3.

Results
E_form (uncorrected)   3.54 eV/atom
Offset from the most stable computed form   1794.9 meV per atom
Magnetization   0.0 μB/cell
Theoretical density   2.8 g/cm3
DFT total energy   -1.726 eV/atom

CIF file:
```
data_CsSiB3
_symmetry_space_group_name_H-M 'P 1'
_symmetry_Int_Tables_number 1
_symmetry_space_group_name_Hall 'P 1'
_cell_length_a 4.854
_cell_length_b 4.854
_cell_length_c 4.854
_cell_angle_alpha 90.00
_cell_angle_beta 90.00
_cell_angle_gamma 90.00
loop_
_atom_site_label
_atom_site_type_symbol
_atom_site_fract_x
_atom_site_fract_y
_atom_site_fract_z
Cs1 Cs 0.000 0.000 0.000
Si1 Si 0.500 0.500 0.500
B1 B 0.000 0.000 0.500
B2 B 0.000 0.500 0.000
B3 B 0.500 0.000 0.000
```

***

[2]
Density functional theory data (PBE) for a relaxed structure of CeS2I2.

Results
E_form (uncorrected)   -1.15 eV/atom
Magnetization   0.0 μB/cell
Theoretical density   3.8 g/cm3
DFT total energy   -4.605 eV/atom

CIF file:
```
data_CeS2I2
_symmetry_space_group_name_H-M 'P 1'
_symmetry_Int_Tables_number 1
_symmetry_space_group_name_Hall 'P 1'
_cell_length_a 7.674
_cell_length_b 7.674
_cell_length_c 8.132
_cell_angle_alpha 99.78
_cell_angle_beta 99.78
_cell_angle_gamma 118.80
loop_
_atom_site_label
_atom_site_type_symbol
_atom_site_fract_x
_atom_site_fract_y
_atom_site_fract_z
Ce1 Ce 0.145 0.855 0.000
Ce2 Ce 0.855 0.145 0.000
S1 S 0.112 0.112 0.265
S2 S 0.274 0.274 0.112
S3 S 0.726 0.726 0.888
S4 S 0.888 0.888 0.735
I1 I 0.046 0.433 0.760
I2 I 0.433 0.046 0.760
I3 I 0.567 0.954 0.240
I4 I 0.954 0.567 0.240
```

***

[3]
Density functional theory data (PBE) for a relaxed structure of KNpH6Pt2.

Results
Magnetization   8.0 μB/cell
Theoretical density   8.7 g/cm3
DFT total energy   -4.865 eV/atom

CIF file:
```
data_KNpH6Pt2
_symmetry_space_group_name_H-M 'P 1'
_symmetry_Int_Tables_number 1
_symmetry_space_group_name_Hall 'P 1'
_cell_length_a 6.429
_cell_length_b 6.429
_cell_length_c 7.235
_cell_angle_alpha 106.79
_cell_angle_beta 106.79
_cell_angle_gamma 103.88
loop_
_atom_site_label
_atom_site_type_symbol
_atom_site_fract_x
_atom_site_fract_y
_atom_site_fract_z
K1 K 0.174 0.826 0.750
K2 K 0.826 0.174 0.250
Np1 Np 0.398 0.602 0.250
Np2 Np 0.602 0.398 0.750
H1 H 0.084 0.601 0.363
H2 H 0.188 0.211 0.987
H3 H 0.211 0.188 0.487
H4 H 0.328 0.522 0.884
H5 H 0.399 0.916 0.137
H6 H 0.478 0.672 0.616
H7 H 0.522 0.328 0.384
H8 H 0.601 0.084 0.863
H9 H 0.672 0.478 0.116
H10 H 0.789 0.812 0.513
H11 H 0.812 0.789 0.013
H12 H 0.916 0.399 0.637
Pt1 Pt 0.064 0.312 0.813
Pt2 Pt 0.312 0.064 0.313
Pt3 Pt 0.688 0.936 0.687
Pt4 Pt 0.936 0.688 0.187
```

***

[4]
Density functional theory data (PBE) for a relaxed structure of Al2Br3.

Results
E_form (uncorrected)   -0.35 eV/atom
Magnetization   0.0 μB/cell
Theoretical density   3.1 g/cm3
DFT total energy   -2.846 eV/atom

CIF file:
```
data_Al2Br3
_symmetry_space_group_name_H-M 'P 1'
_symmetry_Int_Tables_number 1
_symmetry_space_group_name_Hall 'P 1'
_cell_length_a 10.298
_cell_length_b 10.298
_cell_length_c 10.298
_cell_angle_alpha 23.97
_cell_angle_beta 23.97
_cell_angle_gamma 23.97
loop_
_atom_site_label
_atom_site_type_symbol
_atom_site_fract_x
_atom_site_fract_y
_atom_site_fract_z
Al1 Al 0.110 0.110 0.110
Al2 Al 0.890 0.890 0.890
Br1 Br 0.269 0.269 0.269
Br2 Br 0.500 0.500 0.500
Br3 Br 0.731 0.731 0.731
```

***

[5]
Density functional theory data (PBE) for a relaxed structure of SrCdCo2.

Results
DFT formation energy   0.46 eV/atom
Magnetization   3.1 μB/cell
Theoretical density   6.3 g/cm3
DFT total energy   -3.744 eV/atom

CIF file:
```
data_SrCdCo2
_symmetry_space_group_name_H-M 'P 1'
_symmetry_Int_Tables_number 1
_symmetry_space_group_name_Hall 'P 1'
_cell_length_a 3.548
_cell_length_b 3.548
_cell_length_c 6.610
_cell_angle_alpha 90.00
_cell_angle_beta 90.00
_cell_angle_gamma 90.00
loop_
_atom_site_label
_atom_site_type_symbol
_atom_site_fract_x
_atom_site_fract_y
_atom_site_fract_z
Sr1 Sr 0.000 0.000 0.000
Cd1 Cd 0.000 0.000 0.500
Co1 Co 0.500 0.500 0.331
Co2 Co 0.500 0.500 0.669
```

***

[6]
Density functional theory data (PBE) for a relaxed structure of TbGdHoIn.

Results
DFT formation energy   -0.15 eV/atom
Magnetization   8.4 μB/cell
Theoretical density   8.6 g/cm3
DFT total energy   -6.660 eV/atom

CIF file:
```
data_TbGdHoIn
_symmetry_space_group_name_H-M 'P 1'
_symmetry_Int_Tables_number 1
_symmetry_space_group_name_Hall 'P 1'
_cell_length_a 5.459
_cell_length_b 5.459
_cell_length_c 5.459
_cell_angle_alpha 60.00
_cell_angle_beta 60.00
_cell_angle_gamma 60.00
loop_
_atom_site_label
_atom_site_type_symbol
_atom_site_fract_x
_atom_site_fract_y
_atom_site_fract_z
Tb1 Tb 0.000 0.000 0.000
Gd1 Gd 0.500 0.500 0.500
Ho1 Ho 0.250 0.250 0.250
In1 In 0.750 0.750 0.750
```

***

- Among the records above, which one has the lowest DFT total energy?
  TbGdHoIn

***

- Which value of theoretical density does entry 2 give?
  3.8 g/cm3

***

- Look up the DFT total energy of the sixth one.
  -6.660 eV/atom